# 1
A plane-wave DFT calculation with PBE was carried out for Na2BeCuF6 after structural relaxation.

Calculated values
E in eV/f.u.: -46.810
Crystal system: triclinic
Formation energy from raw total energies in eV per formula unit: -25.12

```
Na2BeCuF6
1.0
6.0291 0.3254 0.4718
3.3084 4.7785 0.7576
3.4900 2.1677 5.1794
Na Be Cu F
2 1 1 6
direct
0.6258 0.5988 0.3266
0.1388 0.1037 0.6468
0.3064 0.2674 0.9455
0.8150 0.8121 0.5911
0.5648 0.2085 0.3891
0.1889 0.0854 0.2762
0.9441 0.6435 0.3617
0.3810 0.5617 0.7966
0.6281 0.9904 0.8564
0.0687 0.3901 0.8251
```

---

# 2
A plane-wave DFT calculation with PBE was carried out for LaHo4Th after structural relaxation.

Calculated values
D(E_F) in states/eV per atom: 1.727
Energy relative to the lowest polymorph listed for this composition in meV per atom: 119
E in eV/f.u.: -29.742
Energy of formation in meV per atom: 152.8
Crystal system: monoclinic

```
LaHo4Th
1.0
-4.6466 -1.8809 -4.2997
-1.6437 -2.6689 8.5804
-0.5132 8.4931 -0.9070
La Ho Th
2 8 2
direct
0.3349 0.5849 0.1698
0.6651 0.4151 0.8302
0.0381 0.1610 0.7333
0.7485 0.7166 0.6162
0.1953 0.5723 0.7333
0.3676 0.8996 0.6162
0.6324 0.1004 0.3838
0.8047 0.4277 0.2667
0.2515 0.2834 0.3838
0.9619 0.8390 0.2667
0.2483 0.9983 0.9966
0.7517 0.0017 0.0034
```

---

# 3
A plane-wave DFT calculation with PBE was carried out for In2SeCl after structural relaxation.

Calculated values
D(E_F) in states/eV per atom: 0.020
Energy relative to the lowest polymorph listed for this composition in meV per atom: 12
E in eV/f.u.: -12.997
Crystal system: orthorhombic
Formation energy from raw total energies in eV per formula unit: -2.19

```
In2SeCl
1.0
6.4205 0.0000 0.0000
0.0000 5.5041 0.2027
0.0000 -0.5546 14.9575
In Se Cl
8 4 4
direct
0.6975 0.0000 0.8288
0.3025 0.0000 0.1712
0.6975 0.5000 0.6712
0.3025 0.5000 0.3288
0.8239 0.4999 0.0888
0.1761 0.5001 0.9112
0.8239 0.0001 0.4112
0.1761 0.9999 0.5888
0.3487 0.0001 0.3594
0.6513 0.9999 0.6406
0.3487 0.4999 0.1406
0.6513 0.5001 0.8594
0.1193 0.4998 0.6652
0.8807 0.5002 0.3348
0.1193 0.0002 0.8348
0.8807 0.9998 0.1652
```

---

# 4
A plane-wave DFT calculation with PBE was carried out for CaHfBeMo2 after structural relaxation.

Calculated values
D(E_F) in states/eV per atom: 1.189
Energy relative to the lowest polymorph listed for this composition in meV per atom: 0
E in eV/f.u.: -30.290
Energy of formation in meV per atom: 1410.7
Crystal system: tetragonal

```
CaHfBeMo2
1.0
4.8654 0.0000 0.0000
0.0000 4.9220 0.0000
0.0000 0.0000 4.8654
Be Mo Hf Ca
1 2 1 1
direct
0.0000 0.5000 0.0000
0.0000 0.0000 0.5000
0.5000 0.0000 0.0000
0.0000 0.0000 0.0000
0.5000 0.5000 0.5000
```

---

# 5
A plane-wave DFT calculation with PBE was carried out for BeVFeRe after structural relaxation.

Calculated values
D(E_F) in states/eV per atom: 0.969
E in eV/f.u.: -33.933
Energy of formation in meV per atom: -44.4
Crystal system: cubic

```
BeVFeRe
1.0
4.0760 0.0000 0.0000
2.0380 3.5299 0.0000
2.0380 1.1766 3.3280
Re Be Fe V
1 1 1 1
direct
0.7500 0.7500 0.7500
0.0000 0.0000 0.0000
0.2500 0.2500 0.2500
0.5000 0.5000 0.5000
```

---

# 6
A plane-wave DFT calculation with PBE was carried out for PrHo2Mg4 after structural relaxation.

Calculated values
D(E_F) in states/eV per atom: 0.849
Energy relative to the lowest polymorph listed for this composition in meV per atom: 218
E in eV/f.u.: -17.810
Energy of formation in meV per atom: 357.6
Crystal system: orthorhombic

```
PrHo2Mg4
1.0
5.5481 0.0000 0.0000
0.0000 5.9866 0.0000
0.0000 -2.9933 6.4483
Pr Ho Mg
1 2 4
direct
0.0000 0.5000 0.0000
0.5000 0.1325 0.2650
0.5000 0.8675 0.7350
0.5000 0.6218 0.2436
0.0000 0.7528 0.5056
0.5000 0.3782 0.7564
0.0000 0.2472 0.4944
```

---

# 7
A plane-wave DFT calculation with PBE was carried out for PuTl2F7 after structural relaxation.

Calculated values
D(E_F) in states/eV per atom: 0.752
Energy relative to the lowest polymorph listed for this composition in meV per atom: 0
E in eV/f.u.: -58.578
Crystal system: monoclinic
Formation energy from raw total energies in eV per formula unit: -26.41

```
PuTl2F7
1.0
6.6969 0.0000 3.2659
2.8122 7.0588 2.7326
0.0600 -0.4781 8.3760
Pu Tl F
2 4 14
direct
0.8921 0.2500 0.7500
0.1079 0.7500 0.2500
0.5946 0.9168 0.7190
0.7696 0.4168 0.2190
0.2304 0.5832 0.7810
0.4054 0.0832 0.2810
0.6762 0.5312 0.7929
0.9997 0.0312 0.2929
0.2263 0.8448 0.9783
0.2595 0.1467 0.6191
0.6055 0.2500 0.7500
0.9506 0.3448 0.4783
0.0254 0.3533 0.8809
0.9746 0.6467 0.1191
0.0494 0.6552 0.5217
0.3945 0.7500 0.2500
0.7405 0.8533 0.3809
0.7737 0.1552 0.0217
0.0003 0.9688 0.7071
0.3238 0.4688 0.2071
```

---

# 8
A plane-wave DFT calculation with PBE was carried out for Mg3ZnBi after structural relaxation.

Calculated values
D(E_F) in states/eV per atom: 0.664
Energy relative to the lowest polymorph listed for this composition in meV per atom: 600
E in eV/f.u.: -7.445
Energy of formation in meV per atom: 498.7
Crystal system: cubic

```
Mg3ZnBi
1.0
-4.0349 -2.9352 -2.6447
-2.2794 -1.3581 4.9850
-3.2271 4.6293 -0.2144
Mg Zn Bi
3 1 1
direct
0.0000 0.5000 0.0000
0.0000 0.0000 0.5000
0.5000 0.0000 0.0000
0.5000 0.5000 0.5000
0.0000 0.0000 0.0000
```

---

# 9
A plane-wave DFT calculation with PBE was carried out for Tb4Ni2Rh after structural relaxation.

Calculated values
D(E_F) in states/eV per atom: 0.719
E in eV/f.u.: -40.070
Energy of formation in meV per atom: -376.4
Crystal system: tetragonal

```
Tb4Ni2Rh
1.0
7.5095 -0.9806 -0.1496
-1.5199 7.4193 0.1488
-2.8870 -3.3200 6.1666
Tb Ni Rh
8 4 2
direct
0.9279 0.2337 0.3065
0.3229 0.5163 0.1942
0.9272 0.6213 0.6936
0.7663 0.0728 0.6942
0.3785 0.0721 0.3058
0.3222 0.1287 0.8058
0.4838 0.6780 0.8065
0.8713 0.6772 0.1935
0.6245 0.3750 0.7495
0.6254 0.8750 0.2504
0.6250 0.3746 0.2496
0.1251 0.3754 0.7504
0.2501 0.7501 0.5000
0.9997 0.9998 0.0000
```

---

# 10
A plane-wave DFT calculation with PBE was carried out for CaTeCl3 after structural relaxation.

Calculated values
D(E_F) in states/eV per atom: 0.210
Energy relative to the lowest polymorph listed for this composition in meV per atom: 593
E in eV/f.u.: -13.324
Crystal system: cubic
Formation energy from raw total energies in eV per formula unit: -2.64

```
CaTeCl3
1.0
5.5640 0.0000 0.0000
0.0000 5.5640 0.0000
0.0000 0.0000 5.5640
Ca Te Cl
1 1 3
direct
0.5000 0.5000 0.5000
0.0000 0.0000 0.0000
0.0000 0.5000 0.0000
0.0000 0.0000 0.5000
0.5000 0.0000 0.0000
```

---

# 11
A plane-wave DFT calculation with PBE was carried out for LiZnSn2 after structural relaxation.

Calculated values
D(E_F) in states/eV per atom: 0.319
E in eV/f.u.: -11.337
Energy of formation in meV per atom: -35.9
Crystal system: hexagonal

```
LiZnSn2
1.0
0.3110 3.5729 -2.6408
-1.7862 0.3819 4.0620
9.3132 2.0724 3.9005
Li Zn Sn
2 2 4
direct
0.0000 0.0000 0.2500
0.0000 0.0000 0.7500
0.6667 0.3333 0.2500
0.3333 0.6667 0.7500
0.6667 0.3333 0.5935
0.3333 0.6667 0.0935
0.3333 0.6667 0.4065
0.6667 0.3333 0.9065
```

---

# 12
A plane-wave DFT calculation with PBE was carried out for Ba2MgTaCl after structural relaxation.

Calculated values
D(E_F) in states/eV per atom: 1.053
E in eV/f.u.: -16.134
Crystal system: tetragonal
Formation energy from raw total energies in eV per formula unit: 3.01

```
Ba2MgTaCl
1.0
-0.2739 1.7420 6.3856
-5.0536 1.1821 -0.5392
-1.6266 -6.2128 1.6250
Mg Cl Ba Ta
1 1 2 1
direct
0.0000 0.0000 0.0000
0.5000 0.5000 0.5000
0.0000 0.0000 0.5000
0.5000 0.0000 0.0000
0.0000 0.5000 0.0000
```

---

# 13
A plane-wave DFT calculation with PBE was carried out for TmNpTl2Se4 after structural relaxation.

Calculated values
D(E_F) in states/eV per atom: 0.975
E in eV/f.u.: -45.084
Crystal system: monoclinic
Formation energy from raw total energies in eV per formula unit: -9.00

```
TmNpTl2Se4
1.0
-2.1000 -1.0754 3.4500
-5.5115 -2.3743 -4.0949
5.0503 -6.2705 1.1196
Tm Np Tl Se
1 1 2 4
direct
0.0000 0.0000 0.0000
0.5000 0.5000 0.0000
0.5000 0.0000 0.5000
0.0000 0.5000 0.5000
0.5000 0.2277 0.2024
0.5000 0.7723 0.7976
0.0000 0.2604 0.7966
0.0000 0.7396 0.2034
```

---

# 14
A plane-wave DFT calculation with PBE was carried out for CsSb2F after structural relaxation.

Calculated values
D(E_F) in states/eV per atom: 0.429
E in eV/f.u.: -10.578
Crystal system: cubic
Formation energy from raw total energies in eV per formula unit: 0.39

```
CsSb2F
1.0
0.0000 3.9095 3.9095
3.9095 0.0000 3.9095
3.9095 3.9095 0.0000
Cs Sb F
1 2 1
direct
0.5000 0.5000 0.5000
0.2500 0.2500 0.2500
0.7500 0.7500 0.7500
0.0000 0.0000 0.0000
```

---

# 15
A plane-wave DFT calculation with PBE was carried out for TcHIr2Ru after structural relaxation.

Calculated values
D(E_F) in states/eV per atom: 0.939
Energy relative to the lowest polymorph listed for this composition in meV per atom: 5
E in eV/f.u.: -40.356
Crystal system: tetragonal

```
TcHIr2Ru
1.0
3.8838 0.0000 0.0000
0.0000 3.8838 0.0000
0.0000 0.0000 3.9653
Ru Ir Tc H
1 2 1 1
direct
0.5000 0.5000 0.5000
0.0000 0.5000 0.0000
0.5000 0.0000 0.0000
0.0000 0.0000 0.5000
0.0000 0.0000 0.0000
```

---

# 16
A plane-wave DFT calculation with PBE was carried out for Mn4ReRu after structural relaxation.

Calculated values
D(E_F) in states/eV per atom: 1.331
E in eV/f.u.: -58.473
Energy of formation in meV per atom: -11.9
Crystal system: cubic

```
Mn4ReRu
1.0
-0.4868 -1.8539 -4.2497
-3.7356 -2.6068 -0.9919
-3.2760 1.6259 -2.8911
Mn Re Ru
4 1 1
direct
0.1214 0.6262 0.6262
0.6262 0.6262 0.6262
0.6262 0.1214 0.6262
0.6262 0.6262 0.1214
0.2500 0.2500 0.2500
0.0000 0.0000 0.0000
```

---

# 17
A plane-wave DFT calculation with PBE was carried out for RbAsO3 after structural relaxation.

Calculated values
D(E_F) in states/eV per atom: 0.000
E in eV/f.u.: -26.890
Crystal system: trigonal
Formation energy from raw total energies in eV per formula unit: -6.40

```
RbAsO3
1.0
3.6524 0.0000 3.1177
-1.8262 3.1631 3.1177
-1.8262 -3.1631 3.1177
As O Rb
1 3 1
direct
0.4728 0.4728 0.4728
0.6130 0.1569 0.6130
0.1569 0.6130 0.6130
0.6130 0.6130 0.1569
0.0193 0.0193 0.0193
```

---

# 18
A plane-wave DFT calculation with PBE was carried out for NdTiAu2 after structural relaxation.

Calculated values
D(E_F) in states/eV per atom: 1.008
Energy relative to the lowest polymorph listed for this composition in meV per atom: 13
E in eV/f.u.: -21.183
Energy of formation in meV per atom: -491.5
Crystal system: tetragonal

```
NdTiAu2
1.0
-2.4150 -1.8612 1.4738
-0.9802 -1.1331 -3.0371
4.6927 -5.6260 0.5844
Nd Au Ti
1 2 1
direct
0.5000 0.5000 0.5000
0.0000 0.0000 0.7975
0.0000 0.0000 0.2025
0.5000 0.5000 0.0000
```

---

# 19
A plane-wave DFT calculation with PBE was carried out for HI after structural relaxation.

Calculated values
D(E_F) in states/eV per atom: 0.000
E in eV/f.u.: -4.818
Crystal system: triclinic

```
HI
1.0
-2.4475 -2.7411 -2.4778
-0.5057 -0.6578 4.3570
-4.5199 6.6712 -1.0758
H I
2 2
direct
0.4053 0.9960 0.6313
0.4215 0.2746 0.0015
0.1623 0.1677 0.5661
0.6666 0.1207 0.0844
```

---

# 20
A plane-wave DFT calculation with PBE was carried out for CaYCu2 after structural relaxation.

Calculated values
D(E_F) in states/eV per atom: 0.702
E in eV/f.u.: -15.756
Energy of formation in meV per atom: 225.5
Crystal system: tetragonal

```
CaYCu2
1.0
-4.8947 3.9575 -4.1631
3.9381 -1.6696 -6.2173
-2.4173 -1.7334 -5.6457
Y Ca Cu
2 2 4
direct
0.0000 0.0000 0.0000
0.7500 0.2500 0.5000
0.5000 0.5000 0.0000
0.2500 0.7500 0.5000
0.6321 0.1250 0.2500
0.1179 0.6250 0.2500
0.3750 0.3679 0.7500
0.8750 0.8821 0.7500
```